The following is a DFT calculation (GGA-PBE) of an optimized crystal structure of VGa2N.

abc: 5.852 5.852 5.852
angles: 96.56 96.56 140.50
Sites, in units of the cell vectors:
V 0.000 0.000 0.000
V 0.750 0.250 0.500
Ga 0.232 0.625 0.107
Ga 0.375 0.482 0.607
Ga 0.518 0.125 0.893
Ga 0.875 0.768 0.393
N 0.250 0.750 0.500
N 0.500 0.500 0.000

Its space group is No. 122. The calculation puts the density of states at the Fermi level at 1.87 states/eV/f.u. The value obtained for the uncorrected formation energy is 20.63 kJ per mole of atoms. For the size of the total moment, the calculation gives 2.159 μB per formula unit.